# HfNb2Mo3

HfNb2Mo3 after structural relaxation (PBE, Alexandria).

As for the total magnetization: 0.0 μB per formula unit. The calculation puts the volume at 104 Å³ per cell. As for the formation energy from the elements: -0.10 eV/atom.

The space group is P4/mmm (No. 123) and the conventional cell measures 3.248, 3.248 and 9.868 Å, with angles of 90.00, 90.00 and 90.00 degrees. Symmetry generates all atoms from Hf at (0.000, 0.000, 0.000), Nb at (0.000, 0.000, 0.335), Mo at (0.500, 0.500, 0.176) and Mo at (0.500, 0.500, 0.500).


# HfNb2Mo8

HfNb2Mo8 after structural relaxation (PBE, Alexandria).

As for the total magnetization: 0.0 μB per formula unit. The calculation puts the volume at 365 Å³ per cell. As for the formation energy from the elements: -0.09 eV/atom.

The space group is C2/m (No. 12) and the conventional cell measures 16.409, 3.211 and 7.186 Å, with angles of 90.00, 105.19 and 90.00 degrees. Symmetry generates all atoms from Hf at (0.000, 0.000, 0.000), Nb at (0.227, 0.500, 0.642), Mo at (0.047, 0.500, 0.719), Mo at (0.089, 0.000, 0.453), Mo at (0.139, 0.500, 0.184) and Mo at (0.180, 0.000, 0.911).


# Hf2NbMo

Hf2NbMo after structural relaxation (PBE, Alexandria).

As for the total magnetization: 0.0 μB per formula unit. The value obtained for the excess energy over the best structure of this formula in the dataset is 2.26 eV per formula unit. The calculation puts the volume at 322 Å³ per cell. As for the formation energy from the elements: 0.61 eV/atom.

The space group is I-42d (No. 122) and the conventional cell measures 7.453, 7.453 and 5.803 Å, with angles of 90.00, 90.00 and 90.00 degrees. Symmetry generates all atoms from Hf at (0.236, 0.250, 0.125), Nb at (0.000, 0.000, 0.500) and Mo at (0.000, 0.000, 0.000).